No. 1
{"formula": "YNb2FeS", "functional": "PBEsol", "state": "optimized geometry", "raw_formation_energy_mev_per_atom": 393, "sg": "P4/mmm (123)", "energy_ev_per_cell": -39.85, "crystal_system": "tetragonal", "lattice": [[-2.932, 1.896, -2.277], [0.142, -3.527, -3.119], [-3.345, -2.272, 2.416]], "species": ["Y", "Nb", "Nb", "S", "Fe"], "fractional_positions": [[0.500, 0.500, 0.500], [0.000, 0.000, 0.500], [0.000, 0.500, 0.000], [0.500, 0.000, 0.000], [0.000, 0.000, 0.000]]}



No. 2
{"formula": "Zr2NbFeSb", "functional": "PBEsol", "state": "optimized geometry", "raw_formation_energy_mev_per_atom": 819, "sg": "P4/mmm (123)", "energy_ev_per_cell": -38.43, "crystal_system": "tetragonal", "lattice": [[4.324, 0.000, 0.000], [0.000, 5.096, 0.000], [0.000, 0.000, 5.096]], "species": ["Sb", "Nb", "Fe", "Zr", "Zr"], "fractional_positions": [[0.500, 0.500, 0.500], [0.000, 0.000, 0.000], [0.500, 0.000, 0.000], [0.000, 0.000, 0.500], [0.000, 0.500, 0.000]]}



No. 3
{"formula": "Sc3NbFe", "functional": "PBEsol", "state": "optimized geometry", "sg": "Pm-3m (221)", "energy_ev_per_cell": -37.40, "delta_e_f_ev_per_atom": 0.440, "crystal_system": "cubic", "lattice": [[-2.739, 0.676, -3.735], [-0.667, -4.620, -0.346], [-3.737, 0.330, 2.800]], "species": ["Sc", "Sc", "Sc", "Nb", "Fe"], "fractional_positions": [[0.000, 0.500, 0.000], [0.000, 0.000, 0.500], [0.500, 0.000, 0.000], [0.500, 0.500, 0.500], [0.000, 0.000, 0.000]]}



No. 4
{"formula": "NbFe3Se", "functional": "PBEsol", "state": "optimized geometry", "raw_formation_energy_mev_per_atom": 773, "sg": "Pm-3m (221)", "energy_ev_per_cell": -37.70, "crystal_system": "cubic", "lattice": [[-2.680, -0.708, -3.195], [-2.983, -1.169, 2.762], [-1.345, 4.003, 0.241]], "species": ["Nb", "Fe", "Fe", "Fe", "Se"], "fractional_positions": [[0.500, 0.500, 0.500], [0.000, 0.500, 0.000], [0.000, 0.000, 0.500], [0.500, 0.000, 0.000], [0.000, 0.000, 0.000]]}



No. 5
{"formula": "Nb3FeSe10", "functional": "PBEsol", "state": "optimized geometry", "raw_formation_energy_mev_per_atom": -652, "sg": "Pm (6)", "energy_ev_per_cell": -89.06, "crystal_system": "monoclinic", "lattice": [[-2.273, 1.819, -1.890], [-6.602, -6.134, 2.036], [0.621, 7.571, 6.539]], "species": ["Nb", "Nb", "Nb", "Fe", "Se", "Se", "Se", "Se", "Se", "Se", "Se", "Se", "Se", "Se"], "fractional_positions": [[0.000, 0.725, 0.630], [0.500, 0.275, 0.359], [0.500, 0.544, 0.917], [0.000, 0.455, 0.101], [0.500, 0.958, 0.759], [0.000, 0.040, 0.233], [0.500, 0.511, 0.632], [0.000, 0.486, 0.353], [0.500, 0.842, 0.500], [0.000, 0.163, 0.492], [0.000, 0.760, 0.914], [0.500, 0.266, 0.087], [0.000, 0.325, 0.842], [0.500, 0.650, 0.181]]}



No. 6
{"formula": "Nb3FeSe", "functional": "PBEsol", "state": "optimized geometry", "raw_formation_energy_mev_per_atom": 1014, "sg": "Pm-3m (221)", "energy_ev_per_cell": -40.21, "crystal_system": "cubic", "lattice": [[-0.432, 3.713, -2.809], [-0.788, -2.839, -3.631], [-4.589, 0.138, 0.887]], "species": ["Nb", "Nb", "Nb", "Fe", "Se"], "fractional_positions": [[0.000, 0.500, 0.000], [0.000, 0.000, 0.500], [0.500, 0.000, 0.000], [0.500, 0.500, 0.500], [0.000, 0.000, 0.000]]}



No. 7
{"formula": "NbFeSe5", "functional": "PBEsol", "state": "optimized geometry", "raw_formation_energy_mev_per_atom": -508, "sg": "P2_1/m (11)", "energy_ev_per_cell": -85.18, "crystal_system": "monoclinic", "lattice": [[3.452, 0.000, 0.000], [0.000, 9.066, -0.006], [0.000, -3.992, 8.961]], "species": ["Nb", "Nb", "Fe", "Fe", "Se", "Se", "Se", "Se", "Se", "Se", "Se", "Se", "Se", "Se"], "fractional_positions": [[0.750, 0.768, 0.864], [0.250, 0.232, 0.136], [0.750, 0.056, 0.406], [0.250, 0.944, 0.594], [0.750, 0.339, 0.995], [0.250, 0.661, 0.005], [0.750, 0.473, 0.265], [0.250, 0.527, 0.735], [0.750, 0.017, 0.142], [0.250, 0.983, 0.858], [0.750, 0.137, 0.657], [0.250, 0.863, 0.343], [0.750, 0.753, 0.583], [0.250, 0.247, 0.417]]}



No. 8
{"formula": "TaNb2FeSe10", "functional": "PBEsol", "state": "optimized geometry", "raw_formation_energy_mev_per_atom": -648, "sg": "Pm (6)", "energy_ev_per_cell": -90.73, "crystal_system": "monoclinic", "lattice": [[-2.489, 0.848, 2.273], [2.800, -6.823, 5.612], [4.592, 8.682, 1.788]], "species": ["Ta", "Nb", "Nb", "Fe", "Se", "Se", "Se", "Se", "Se", "Se", "Se", "Se", "Se", "Se"], "fractional_positions": [[0.500, 0.543, 0.917], [0.000, 0.723, 0.630], [0.500, 0.278, 0.361], [0.000, 0.456, 0.101], [0.500, 0.954, 0.758], [0.000, 0.045, 0.235], [0.500, 0.510, 0.632], [0.000, 0.487, 0.354], [0.500, 0.841, 0.499], [0.000, 0.163, 0.493], [0.000, 0.755, 0.913], [0.500, 0.268, 0.087], [0.000, 0.327, 0.840], [0.500, 0.651, 0.180]]}



No. 9
{"formula": "Nb4Fe3Si5", "functional": "PBEsol", "state": "optimized geometry", "raw_formation_energy_mev_per_atom": -647, "sg": "Amm2 (38)", "energy_ev_per_cell": -106.68, "crystal_system": "orthorhombic", "lattice": [[4.859, 0.000, 0.000], [-2.384, 4.233, 0.000], [0.000, 0.000, 7.584]], "species": ["Nb", "Nb", "Nb", "Nb", "Fe", "Fe", "Fe", "Si", "Si", "Si", "Si", "Si"], "fractional_positions": [[0.332, 0.668, 0.186], [0.666, 0.334, 0.318], [0.666, 0.334, 0.682], [0.332, 0.668, 0.814], [0.002, 0.998, 0.254], [0.002, 0.998, 0.746], [0.830, 0.170, 0.000], [0.833, 0.664, 0.000], [0.336, 0.167, 0.000], [0.169, 0.831, 0.500], [0.168, 0.334, 0.500], [0.666, 0.832, 0.500]]}



No. 10
{"formula": "Nb4Fe4Si7", "functional": "PBEsol", "state": "optimized geometry", "raw_formation_energy_mev_per_atom": -710, "sg": "I4/mmm (139)", "energy_ev_per_cell": -260.04, "crystal_system": "tetragonal", "lattice": [[-3.002, -2.938, -2.663], [-5.423, -4.181, 6.083], [-7.334, 5.106, -2.011]], "species": ["Nb", "Nb", "Nb", "Nb", "Nb", "Nb", "Nb", "Nb", "Fe", "Fe", "Fe", "Fe", "Fe", "Fe", "Fe", "Fe", "Si", "Si", "Si", "Si", "Si", "Si", "Si", "Si", "Si", "Si", "Si", "Si", "Si", "Si"], "fractional_positions": [[0.865, 0.271, 0.000], [0.135, 0.729, 0.000], [0.135, 0.000, 0.729], [0.865, 0.000, 0.271], [0.500, 0.193, 0.807], [0.500, 0.807, 0.193], [0.693, 0.807, 0.807], [0.307, 0.193, 0.193], [0.100, 0.799, 0.500], [0.400, 0.201, 0.500], [0.400, 0.500, 0.201], [0.100, 0.500, 0.799], [0.900, 0.500, 0.201], [0.600, 0.500, 0.799], [0.600, 0.799, 0.500], [0.900, 0.201, 0.500], [0.709, 0.581, 0.000], [0.291, 0.419, 0.000], [0.291, 0.000, 0.419], [0.709, 0.000, 0.581], [0.000, 0.299, 0.701], [0.000, 0.701, 0.299], [0.299, 0.701, 0.701], [0.701, 0.299, 0.299], [0.500, 0.405, 0.595], [0.500, 0.595, 0.405], [0.905, 0.595, 0.595], [0.095, 0.405, 0.405], [0.751, 0.000, 0.000], [0.249, 0.000, 0.000]]}